Below is Tm4Ga12Pd after structural relaxation, with properties calculated at the PBEsol level.

a b c (Å): 7.3020 7.3020 7.3020
angles (deg): 109.47 109.47 109.47
Atoms (fractional coordinates):
Tm 0.5000 0.5000 0.5000
Tm 0.0000 0.0000 0.5000
Tm 0.5000 0.0000 0.0000
Tm 0.0000 0.5000 0.0000
Ga 0.0000 0.7031 0.7031
Ga 0.2500 0.5000 0.7500
Ga 0.2969 0.2969 0.0000
Ga 0.5000 0.7500 0.2500
Ga 0.2969 0.0000 0.2969
Ga 0.7500 0.2500 0.5000
Ga 0.7031 0.0000 0.7031
Ga 0.7031 0.7031 0.0000
Ga 0.5000 0.2500 0.7500
Ga 0.0000 0.2969 0.2969
Ga 0.7500 0.5000 0.2500
Ga 0.2500 0.7500 0.5000
Pd 0.0000 0.0000 0.0000

## Properties
density of states at the Fermi level = 3.4 states/eV/f.u.
E_form = -0.638 eV per atom
M_tot = 0.00 μB/f.u.
V = 17.63 Å³/atom
density = 8.97 g/cm³
DFT total energy = -4.4987 eV/atom

---

Below is Tm6Ga17Pd5 after structural relaxation, with properties calculated at the PBEsol level.

a b c (Å): 4.1574 8.0000 15.4467
angles (deg): 103.66 90.00 105.06
Atoms (fractional coordinates):
Tm 0.2474 0.4947 0.7513
Tm 0.0906 0.1813 0.9064
Tm 0.3988 0.7976 0.5981
Tm 0.7526 0.5053 0.2487
Tm 0.9094 0.8187 0.0936
Tm 0.6012 0.2024 0.4019
Ga 0.6745 0.3489 0.0427
Ga 0.7598 0.5197 0.6067
Ga 0.3984 0.7967 0.2363
Ga 0.8911 0.7823 0.7340
Ga 0.8222 0.6443 0.4604
Ga 0.0379 0.0759 0.6780
Ga 0.1778 0.3557 0.5396
Ga 0.0000 0.0000 0.5000
Ga 0.2697 0.5393 0.1043
Ga 0.7303 0.4607 0.8957
Ga 0.3255 0.6511 0.9573
Ga 0.2402 0.4803 0.3933
Ga 0.1089 0.2177 0.2660
Ga 0.5455 0.0910 0.1739
Ga 0.4545 0.9090 0.8261
Ga 0.9621 0.9241 0.3220
Ga 0.6016 0.2033 0.7637
Pd 0.5000 0.0000 0.0000
Pd 0.8942 0.7884 0.8968
Pd 0.4090 0.8180 0.4067
Pd 0.5910 0.1820 0.5933
Pd 0.1058 0.2116 0.1032

## Properties
density of states at the Fermi level = 8.0 states/eV/f.u.
E_form = -0.721 eV per atom
M_tot = 0.00 μB/f.u.
V = 17.18 Å³/atom
density = 9.43 g/cm³
DFT total energy = -4.8621 eV/atom

---

Below is UGa3Pd2 after structural relaxation, with properties calculated at the PBEsol level.

a b c (Å): 4.2250 5.2484 5.2484
angles (deg): 120.00 90.00 90.00
Each line ends with the local moment (μB).
Atoms (fractional coordinates):
Ga 0.5000 0.0000 0.5000  -0.02
Ga 0.5000 0.5000 0.5000  -0.02
Ga 0.5000 0.5000 0.0000  -0.02
Pd 0.0000 0.3333 0.6667  -0.02
Pd 0.0000 0.6667 0.3333  -0.02
U 0.0000 0.0000 0.0000  2.07

## Properties
density of states at the Fermi level = 8.1 states/eV/f.u.
E_form = -0.426 eV per atom
M_tot = 2.12 μB/f.u.
V = 16.80 Å³/atom
density = 10.87 g/cm³
DFT total energy = -6.1089 eV/atom

---

Below is Ga2PdW after structural relaxation, with properties calculated at the PBEsol level.

a b c (Å): 4.3526 4.3526 4.3526
angles (deg): 60.00 60.00 60.00
Atoms (fractional coordinates):
W 0.5000 0.5000 0.5000
Ga 0.7500 0.7500 0.7500
Ga 0.2500 0.2500 0.2500
Pd 0.0000 0.0000 0.0000

## Properties
density of states at the Fermi level = 3.8 states/eV/f.u.
E_form = 0.025 eV per atom
M_tot = 0.00 μB/f.u.
V = 14.58 Å³/atom
density = 12.24 g/cm³
DFT total energy = -6.5862 eV/atom